La4ReCl: relaxed, GGA-PBE.

Calculated values
Its total magnetization is 1.6 μB/f.u. As for the energy relative to the elements, uncorrected: 71.5 kJ/mol of atoms. Its space group is F-43m.

CIF file:
```
data_La4ReCl
_symmetry_space_group_name_H-M 'P 1'
_symmetry_Int_Tables_number 1
_cell_length_a 6.252
_cell_length_b 6.252
_cell_length_c 6.252
_cell_angle_alpha 60.00
_cell_angle_beta 60.00
_cell_angle_gamma 60.00
loop_
_symmetry_equiv_pos_as_xyz
'x,y,z'
loop_
_atom_site_label
_atom_site_fract_x
_atom_site_fract_y
_atom_site_fract_z
La1 0.870 0.377 0.377
La2 0.377 0.870 0.377
La3 0.377 0.377 0.870
La4 0.377 0.377 0.377
Cl1 0.000 0.000 0.000
Re1 0.750 0.750 0.750
```

***

Pm2DyF11: relaxed, GGA-PBE.

Calculated values
Its total magnetization is 2.1 μB/f.u. As for the energy relative to the elements, uncorrected: -330.5 kJ/mol of atoms. Its space group is Ibam.

CIF file:
```
data_Pm2DyF11
_symmetry_space_group_name_H-M 'P 1'
_symmetry_Int_Tables_number 1
_cell_length_a 8.619
_cell_length_b 8.803
_cell_length_c 8.803
_cell_angle_alpha 72.48
_cell_angle_beta 60.69
_cell_angle_gamma 60.69
loop_
_symmetry_equiv_pos_as_xyz
'x,y,z'
loop_
_atom_site_label
_atom_site_fract_x
_atom_site_fract_y
_atom_site_fract_z
F1 0.833 0.939 0.792
F2 0.754 0.478 0.815
F3 0.546 0.022 0.685
F4 0.393 0.689 0.311
F5 0.893 0.811 0.189
F6 0.607 0.311 0.689
F7 0.000 0.000 0.000
F8 0.667 0.708 0.561
F9 0.746 0.685 0.022
F10 0.254 0.315 0.978
F11 0.564 0.208 0.061
F12 0.246 0.522 0.185
F13 0.954 0.815 0.478
F14 0.167 0.061 0.208
F15 0.064 0.561 0.708
F16 0.436 0.792 0.939
F17 0.046 0.185 0.522
F18 0.107 0.189 0.811
F19 0.500 0.500 0.500
F20 0.333 0.292 0.439
F21 0.936 0.439 0.292
F22 0.454 0.978 0.315
Dy1 0.250 0.250 0.250
Dy2 0.750 0.750 0.750
Pm1 0.163 0.810 0.190
Pm2 0.837 0.190 0.810
Pm3 0.663 0.690 0.310
Pm4 0.337 0.310 0.690
```

***

- What is the formula in the second record?
  Pm2DyF11

***

- total magnetization of number 1 (La4ReCl)?
  1.6 μB/f.u.

***

- Among the records above, which one has the highest total magnetization?
  Pm2DyF11

***

- Which formula does entry 2 have?
  Pm2DyF11